[1]
Material: SrGaRh3
Method: DFT, meta-GGA SCAN
State: PBEsol geometry

- Final energy: -26.133 eV/atom
- Fermi-level density of states: 4.4 states/eV/cell
- ρ: 6.91 g cm⁻³
- Calculated formation energy: 1.854 eV per atom

Geometry as extended XYZ:
```
5
Lattice="4.821 0.000 0.000 0.000 4.821 0.000 0.000 0.000 4.821" Properties=species:S:1:pos:R:3 pbc="T T T"
Sr 0.000 0.000 0.000
Ga 2.411 2.411 2.411
Rh 0.000 0.000 2.411
Rh 0.000 2.411 0.000
Rh 2.411 0.000 0.000
```

=====

[2]
Material: Ti6Ga16Rh7
Method: DFT, meta-GGA SCAN
State: PBEsol geometry

- Final energy: -21.148 eV/atom
- Fermi-level density of states: 16.2 states/eV/cell
- ρ: 8.15 g cm⁻³
- Calculated formation energy: -0.661 eV per atom

Geometry as extended XYZ:
```
29
Lattice="0.000 6.002 6.002 6.002 0.000 6.002 6.002 6.002 0.000" Properties=species:S:1:pos:R:3 pbc="T T T"
Ti 6.002 6.002 2.321
Ti 6.002 2.321 6.002
Ti 9.683 6.002 6.002
Ti 2.321 6.002 6.002
Ti 6.002 9.683 6.002
Ti 6.002 6.002 9.683
Ga 7.475 4.529 4.529
Ga 1.797 1.797 1.797
Ga 4.204 4.204 1.797
Ga 4.204 1.797 4.204
Ga 4.529 4.529 4.529
Ga 7.475 7.475 4.529
Ga 7.475 4.529 7.475
Ga 10.206 7.799 7.799
Ga 1.797 4.204 4.204
Ga 4.529 7.475 4.529
Ga 4.529 4.529 7.475
Ga 7.475 7.475 7.475
Ga 7.799 10.206 7.799
Ga 7.799 7.799 10.206
Ga 10.206 10.206 10.206
Ga 4.529 7.475 7.475
Rh 3.001 3.001 0.000
Rh 3.001 0.000 3.001
Rh 6.002 3.001 3.001
Rh 0.000 3.001 3.001
Rh 3.001 6.002 3.001
Rh 3.001 3.001 6.002
Rh 6.002 6.002 6.002
```